GGA-PBE Co3Ir, relaxed; total magnetization = 5.30 μB/f.u.; ρ = 12.775 g/cm³; formation enthalpy at 0 K = 0.0 eV per formula unit; DOS(E_F) = 4.5 states/eV/cell
1.0
2.609 0.000 0.000
0.000 4.137 0.000
0.000 0.000 4.445
Ir Co
1 3
Direct
0.000 0.500 0.337 Ir
0.500 0.000 0.505 Co
0.500 0.500 0.836 Co
0.000 0.000 0.989 Co

GGA-PBE BeIn2Ni, relaxed; total magnetization = 0.00 μB/f.u.; ρ = 6.533 g/cm³; formation enthalpy at 0 K = 1.9 eV per formula unit; DOS(E_F) = 4.4 states/eV/cell
1.0
4.184 0.000 0.000
0.000 4.184 0.000
2.092 2.092 8.636
Be In Ni
2 4 2
Direct
0.500 0.500 0.000 Be
0.250 0.750 0.500 Be
0.375 0.377 0.750 In
0.623 0.125 0.250 In
0.875 0.873 0.750 In
0.127 0.625 0.250 In
0.750 0.250 0.500 Ni
0.000 0.000 0.000 Ni

GGA-PBE CoSbRu2, relaxed; total magnetization = 0.00 μB/f.u.; ρ = 10.960 g/cm³; DOS(E_F) = 3.1 states/eV/cell; uncorrected formation energy = 0.130 eV per atom
1.0
4.703 0.008 0.000
1.457 4.472 0.000
-3.080 -2.240 2.759
Ru Co Sb
2 1 1
Direct
0.250 0.750 0.500 Ru
0.000 0.000 0.000 Ru
0.750 0.250 0.500 Co
0.500 0.500 0.000 Sb

GGA-PBE TmAgGe, relaxed; total magnetization = 0.00 μB/f.u.; ρ = 8.461 g/cm³; formation enthalpy at 0 K = -1.4 eV per formula unit
1.0
-2.077 -3.458 2.199
-2.875 -2.771 -2.273
1.213 -4.342 -0.884
Ge Ag Tm
1 1 1
Direct
0.250 0.250 0.250 Ge
0.000 0.000 0.000 Ag
0.500 0.500 0.500 Tm

GGA-PBE Ta3Si5, relaxed; total magnetization = 0.00 μB/f.u.; ρ = 8.969 g/cm³; DOS(E_F) = 7.3 states/eV/cell; uncorrected formation energy = -0.079 eV per atom
1.0
8.207 0.006 0.000
-6.366 4.918 0.000
-0.920 -2.462 6.263
Si Ta
10 6
Direct
0.734 0.186 0.500 Si
0.075 0.278 0.225 Si
0.879 0.710 0.677 Si
0.702 0.533 0.323 Si
0.241 0.707 0.500 Si
0.909 0.196 0.857 Si
0.349 0.552 0.775 Si
0.517 0.197 0.752 Si
0.552 0.839 0.143 Si
0.265 0.945 0.248 Si
0.606 0.757 0.500 Ta
0.219 0.169 0.500 Ta
0.774 0.317 0.136 Ta
0.780 0.729 0.026 Ta
0.138 0.681 0.864 Ta
0.254 0.203 0.974 Ta

GGA-PBE K3Sr, relaxed; total magnetization = 0.00 μB/f.u.; ρ = 1.277 g/cm³; formation enthalpy at 0 K = 0.4 eV per formula unit; DOS(E_F) = 3.4 states/eV/cell
1.0
8.725 -0.003 -0.002
4.204 7.645 0.002
-5.475 -5.495 3.994
Sr K
1 3
Direct
0.250 0.750 0.500 Sr
0.996 0.996 0.000 K
0.504 0.504 0.000 K
0.750 0.250 0.500 K

GGA-PBE TaNb3Ni, relaxed; total magnetization = 0.00 μB/f.u.; ρ = 7.500 g/cm³; formation enthalpy at 0 K = 8.8 eV per formula unit; DOS(E_F) = 10.3 states/eV/cell
1.0
4.860 0.000 0.000
0.000 4.860 0.000
0.000 0.000 4.860
Nb Ta Ni
3 1 1
Direct
0.000 0.000 0.500 Nb
0.500 0.000 0.000 Nb
0.000 0.500 0.000 Nb
0.000 0.000 0.000 Ta
0.500 0.500 0.500 Ni

GGA-PBE Ho3BeCo3, relaxed; total magnetization = 0.01 μB/f.u.; ρ = 9.124 g/cm³; formation enthalpy at 0 K = -1.4 eV per formula unit; DOS(E_F) = 11.9 states/eV/cell
1.0
3.911 0.000 0.589
1.936 5.089 0.424
0.122 -0.082 12.463
Ho Co Be
6 6 2
Direct
0.394 0.291 0.922 Ho
0.533 0.319 0.615 Ho
0.467 0.681 0.385 Ho
0.249 0.269 0.233 Ho
0.751 0.731 0.767 Ho
0.606 0.709 0.078 Ho
0.834 0.796 0.535 Co
0.900 0.120 0.080 Co
0.947 0.869 0.237 Co
0.166 0.204 0.465 Co
0.053 0.131 0.763 Co
0.100 0.880 0.920 Co
0.756 0.089 0.399 Be
0.244 0.911 0.601 Be

Question: What is the ρ in the first record?
Answer: 12.775 g/cm³

What did the seventh record say?
GGA-PBE TaNb3Ni, relaxed; total magnetization = 0.00 μB/f.u.; ρ = 7.500 g/cm³; formation enthalpy at 0 K = 8.8 eV per formula unit; DOS(E_F) = 10.3 states/eV/cell
1.0
4.860 0.000 0.000
0.000 4.860 0.000
0.000 0.000 4.860
Nb Ta Ni
3 1 1
Direct
0.000 0.000 0.500 Nb
0.500 0.000 0.000 Nb
0.000 0.500 0.000 Nb
0.000 0.000 0.000 Ta
0.500 0.500 0.500 Ni

What did the seventh record say?
GGA-PBE TaNb3Ni, relaxed; total magnetization = 0.00 μB/f.u.; ρ = 7.500 g/cm³; formation enthalpy at 0 K = 8.8 eV per formula unit; DOS(E_F) = 10.3 states/eV/cell
1.0
4.860 0.000 0.000
0.000 4.860 0.000
0.000 0.000 4.860
Nb Ta Ni
3 1 1
Direct
0.000 0.000 0.500 Nb
0.500 0.000 0.000 Nb
0.000 0.500 0.000 Nb
0.000 0.000 0.000 Ta
0.500 0.500 0.500 Ni